[1]
Compound: Mg2Cd2Hg3
Source: Alexandria
Functional: PBE
Structure: optimized geometry

Values from the calculation:
Crystal system = triclinic
Total energy = -6.5 eV per cell

Cell: 4.6556 4.8835 8.6217 Å, 87.04 74.86 61.73°
With the nearest neighbours (Å) after each atom.
Space group P-1 (No. 2)
One atom of each set of equivalent atoms:
1 Mg 0.2469 0.3737 0.1320 [2 per cell]  7 Hg 2.94-3.17
2 Cd 0.2639 0.8629 0.6063 [2 per cell]  5 Hg 2.97-3.28, 2 Cd 3.19-3.23
3 Hg 0.0000 0.0000 0.0000 [1 per cell]  6 Mg 2.97-3.00, 2 Cd 3.28
4 Hg 0.4977 0.2535 0.7507 [2 per cell]  4 Mg 2.94-3.17, 4 Cd 2.97-3.07

[2]
Compound: Mg2CdHg
Source: Alexandria
Functional: PBE
Structure: optimized geometry

Values from the calculation:
Crystal system = trigonal
Total energy = -14.3 eV per cell

Cell: 3.3718 3.3718 27.6162 Å, 90.00 90.00 120.00°
With the nearest neighbours (Å) after each atom.
Space group R-3m (No. 166, hexagonal axes)
One atom of each set of equivalent atoms:
1 Mg 0.0000 0.0000 0.2479 [6 per cell]  3 Hg 2.97, 3 Cd 3.06
2 Cd 0.0000 0.0000 0.0000 [3 per cell]  6 Mg 3.06, 6 Cd 3.37
3 Hg 0.0000 0.0000 0.5000 [3 per cell]  6 Mg 2.97

[3]
Compound: Mg3CdHg3
Source: Alexandria
Functional: PBE
Structure: optimized geometry

Values from the calculation:
Crystal system = cubic
Total energy = -9.7 eV per cell

Cell: 7.7894 7.7894 7.7894 Å, 90.00 90.00 90.00°
With the nearest neighbours (Å) after each atom.
Space group Pm-3n (No. 223)
One atom of each set of equivalent atoms:
1 Mg 0.0000 0.2500 0.5000 [6 per cell]  4 Hg 2.75
2 Cd 0.0000 0.0000 0.0000 [2 per cell]  12 Hg 4.35, 12 Mg 4.35
3 Hg 0.0000 0.5000 0.2500 [6 per cell]  4 Mg 2.75

[4]
Compound: Mg2CdHg2
Source: Alexandria
Functional: PBE
Structure: optimized geometry

Values from the calculation:
Crystal system = orthorhombic
Total energy = -10.1 eV per cell

Cell: 4.7723 15.3145 3.4026 Å, 90.00 90.00 90.00°
With the nearest neighbours (Å) after each atom.
Space group Pbam (No. 55)
One atom of each set of equivalent atoms:
1 Mg 0.0990 0.1694 0.0000 [4 per cell]  6 Hg 2.91-3.13, 1 Cd 3.22
2 Cd 0.0000 0.5000 0.0000 [2 per cell]  4 Hg 3.01, 2 Mg 3.22
3 Hg 0.1049 0.3413 0.5000 [4 per cell]  6 Mg 2.91-3.13, 2 Cd 3.01

[5]
Compound: Mg3Cd2Hg5
Source: Alexandria
Functional: PBE
Structure: optimized geometry

Values from the calculation:
Crystal system = orthorhombic
Total energy = -32.8 eV per cell

Cell: 11.6779 13.9859 6.2086 Å, 90.00 90.00 90.00°
With the nearest neighbours (Å) after each atom.
Space group Ibam (No. 72)
One atom of each set of equivalent atoms:
1 Mg 0.0000 0.0000 0.2500 [4 per cell]  6 Hg 2.87-2.94, 2 Mg 3.10
2 Mg 0.1190 0.3537 0.0000 [8 per cell]  5 Hg 2.75-3.01
3 Cd 0.1416 0.2569 0.5000 [8 per cell]  4 Hg 3.14-3.43, 4 Mg 3.19-3.40
4 Hg 0.0000 0.5000 0.2500 [4 per cell]  4 Mg 2.92, 4 Hg 2.97-3.10
5 Hg 0.1002 0.1580 0.0000 [8 per cell]  3 Mg 2.75-2.94
6 Hg 0.2460 0.0000 0.2500 [8 per cell]  3 Mg 2.87-3.01, 5 Hg 2.97-3.19

[6]
Compound: MgCd2Hg8
Source: Alexandria
Functional: PBE
Structure: optimized geometry

Values from the calculation:
Crystal system = monoclinic
Total energy = -11.8 eV per cell

Cell: 14.9951 3.4250 11.9793 Å, 90.00 118.21 90.00°
With the nearest neighbours (Å) after each atom.
Space group C2/m (No. 12)
One atom of each set of equivalent atoms:
1 Mg 0.0000 0.0000 0.0000 [2 per cell]  6 Hg 2.94-3.03
2 Cd 0.2349 0.5000 0.0957 [4 per cell]  4 Hg 3.05-3.08, 2 Cd 3.06
3 Hg 0.0448 0.5000 0.8338 [4 per cell]  2 Mg 2.94, 1 Cd 3.08, 2 Hg 3.15
4 Hg 0.0818 0.0000 0.6388 [4 per cell]  9 Hg 3.06-3.42, 1 Cd 3.07
5 Hg 0.1403 0.5000 0.4592 [4 per cell]  12 Hg 3.14-3.42
6 Hg 0.1789 0.0000 0.2643 [4 per cell]  1 Mg 3.03, 2 Cd 3.05, 3 Hg 3.14-3.16

| no. | formation energy from the elements (meV/atom) |
| --- | --- |
| 1 | -88 |
| 2 | -93 |
| 3 | 250 |
| 4 | -69 |
| 5 | -7 |
| 6 | -5 |